(1)
VASP calculation (GGA-PBE) on TbTl2Pd after structural relaxation.

Calculated values
* DFT formation energy: -0.270 eV/atom

Lattice parameters (Å, degrees): 3.567 3.567 7.262 90.00 90.00 90.00
Positions (direct):
Tb1 0.000 0.000 0.000
Tl1 0.500 0.500 0.285
Tl2 0.500 0.500 0.715
Pd1 0.000 0.000 0.500

=====

(2)
VASP calculation (GGA-PBE) on Tm8Sb2Os after structural relaxation.

Calculated values
* formation energy without anion corrections: -0.43 eV/atom

Lattice parameters (Å, degrees): 9.864 9.864 6.560 105.52 105.52 28.79
Positions (direct):
Tm1 0.022 0.022 0.290
Tm2 0.220 0.220 0.827
Tm3 0.354 0.354 0.491
Tm4 0.411 0.411 0.045
Tm5 0.589 0.589 0.955
Tm6 0.646 0.646 0.509
Tm7 0.780 0.780 0.173
Tm8 0.978 0.978 0.710
Sb1 0.181 0.181 0.259
Sb2 0.819 0.819 0.741
Os1 0.500 0.500 0.500

=====

(3)
VASP calculation (GGA-PBE) on Fe2AsBr after structural relaxation.

Calculated values
* formation energy without anion corrections: 0.61 eV/atom
* E above lowest polymorph: 0.586 eV per atom

Lattice parameters (Å, degrees): 3.086 6.172 7.806 90.00 90.00 90.00
Positions (direct):
Fe1 0.000 0.000 0.237
Fe2 0.000 0.000 0.763
Fe3 0.500 0.500 0.263
Fe4 0.500 0.500 0.737
As1 0.000 0.500 0.500
As2 0.500 0.000 0.000
Br1 0.000 0.500 0.000
Br2 0.500 0.000 0.500

=====

(4)
VASP calculation (GGA-PBE) on Al2PPt after structural relaxation.

Calculated values
* DFT formation energy: -0.331 eV/atom

Lattice parameters (Å, degrees): 9.326 3.036 4.453 90.00 103.28 90.00
Positions (direct):
Al1 0.000 0.000 0.000
Al2 0.212 0.000 0.642
Al3 0.500 0.500 0.000
Al4 0.712 0.500 0.642
P1 0.461 0.000 0.505
P2 0.961 0.500 0.505
Pt1 0.241 0.500 0.137
Pt2 0.741 0.000 0.137

=====

(5)
VASP calculation (GGA-PBE) on K2CdSb after structural relaxation.

Calculated values
* formation energy without anion corrections: -0.01 eV/atom
* E above lowest polymorph: 0.259 eV per atom

Lattice parameters (Å, degrees): 3.797 3.797 35.526 90.00 90.00 120.00
Positions (direct):
K1 0.000 0.000 0.243
K2 0.000 0.000 0.757
K3 0.333 0.667 0.423
K4 0.333 0.667 0.910
K5 0.667 0.333 0.090
K6 0.667 0.333 0.577
Cd1 0.000 0.000 0.000
Cd2 0.333 0.667 0.667
Cd3 0.667 0.333 0.333
Sb1 0.000 0.000 0.500
Sb2 0.333 0.667 0.167
Sb3 0.667 0.333 0.833

=====

(6)
VASP calculation (GGA-PBE) on Si2PCl after structural relaxation.

Calculated values
* formation energy without anion corrections: 0.55 eV/atom
* E above lowest polymorph: 0.533 eV per atom

Lattice parameters (Å, degrees): 3.511 3.607 5.867 90.00 90.00 90.00
Positions (direct):
Si1 0.000 0.000 0.000
Si2 0.500 0.000 0.500
P1 0.000 0.500 0.500
Cl1 0.500 0.500 0.000